Entry 1:
Below is a relaxed structure of LiPa2GaN5, with properties calculated at the GGA-PBE level.

Results
raw total energy	-8.2283	eV per atom
formation energy from raw total energies	-944	meV per atom
crystal system	orthorhombic

a = 3.4295 Å, b = 13.3067 Å, c = 9.5491 Å
α = 90.00°, β = 90.00°, γ = 90.00°
Closest atoms and distances in Å follow each position.
Space group Cmc2_1 (No. 36)
Asymmetric unit:
Li 0.0000 0.2108 0.0000 [4 per cell]  2 N 2.08-2.19
Pa 0.0000 0.1278 0.6969 [4 per cell]  5 N 2.24-2.41
Pa 0.0000 0.1366 0.2918 [4 per cell]  6 N 2.23-2.48
Ga 0.0000 0.4778 0.4904 [4 per cell]  4 N 1.92-2.10
N 0.0000 0.0535 0.0685 [4 per cell]  2 Ga 1.92
N 0.0000 0.2953 0.6763 [4 per cell]  3 Pa 2.23-2.24, 2 Li 2.40
N 0.0000 0.3058 0.3325 [4 per cell]  3 Pa 2.28-2.32, 2 Li 2.36
N 0.0000 0.3661 0.0202 [4 per cell]  1 Li 2.08, 1 Ga 2.10
N 0.0000 0.4980 0.7877 [4 per cell]  1 Ga 1.96

=====

Entry 2:
Below is a relaxed structure of LiPaGaN3, with properties calculated at the GGA-PBE level.

Results
raw total energy	-7.3980	eV per atom
formation energy from raw total energies	-829	meV per atom
crystal system	monoclinic

a = 6.3604 Å, b = 3.5184 Å, c = 8.5671 Å
α = 90.00°, β = 99.91°, γ = 90.00°
Closest atoms and distances in Å follow each position.
Space group P2_1/m (No. 11)
Asymmetric unit:
Li 0.1356 0.2500 0.0960 [2 per cell]  1 N 2.07
Pa 0.3432 0.7500 0.8401 [2 per cell]  6 N 2.26-2.36
Ga 0.0258 0.2500 0.6231 [2 per cell]  4 N 1.93-2.07
N 0.0999 0.2500 0.8512 [2 per cell]  1 Ga 1.93, 1 Li 2.07
N 0.1740 0.7500 0.5755 [2 per cell]  3 Ga 1.94-2.07
N 0.4311 0.7500 0.1098 [2 per cell]  3 Pa 2.26-2.28

=====

Q: The highest raw total energy belongs to which entry?
A: LiPaGaN3

=====

Q: Among the records above, which one has the highest formation energy from raw total energies?
A: LiPaGaN3

=====

Q: Which of these has the lowest raw total energy?
A: LiPa2GaN5

=====

Q: Which value of formation energy from raw total energies does entry 1 give?
A: -944 meV per atom